(1)
# Li3TaS4

Crystalline Li3TaS4 at its relaxed geometry (PBE-GGA, Alexandria via LeMat-Bulk).

Output
Formation energy from raw total energies in meV per atom: -1192.5
Total moment in μB per formula unit: 0.0

a = 6.4248 Å, b = 6.9405 Å, c = 7.9943 Å
α = 90.00°, β = 90.00°, γ = 90.00°
Fractional positions:
S 0.1165 0.3278 0.7638
S 0.1165 0.3278 0.2362
S 0.1463 0.8241 0.5000
S 0.6165 0.6722 0.7362
S 0.6463 0.1759 0.0000
S 0.6172 0.1398 0.5000
S 0.1172 0.8602 0.0000
S 0.6165 0.6722 0.2638
Ta 0.0020 0.1727 0.0000
Ta 0.5020 0.8273 0.5000
Li 0.5080 0.8444 0.0000
Li 0.5044 0.3290 0.7472
Li 0.0080 0.1556 0.5000
Li 0.0044 0.6710 0.2472
Li 0.5044 0.3290 0.2528
Li 0.0044 0.6710 0.7528


(2)
# Pm3SiPb2

Crystalline Pm3SiPb2 at its relaxed geometry (PBE-GGA, Alexandria via LeMat-Bulk).

Output
Formation energy from raw total energies in meV per atom: -447.3
Total moment in μB per formula unit: 0.0
Relative energy among the computed polymorphs in kJ/mol of formula units: 39

a = 6.2826 Å, b = 7.5051 Å, c = 8.5337 Å
α = 102.64°, β = 111.60°, γ = 90.00°
Fractional positions:
Pm 0.4986 0.7500 0.0000
Pm 0.5014 0.2500 0.0000
Pm 0.1482 0.0737 0.2947
Pm 0.8518 0.9263 0.7053
Pm 0.1465 0.5737 0.2947
Pm 0.8535 0.4263 0.7053
Pb 0.3242 0.9129 0.6503
Pb 0.6758 0.0871 0.3497
Pb 0.6739 0.5871 0.3497
Pb 0.3261 0.4129 0.6503
Si 0.9981 0.7500 0.0000
Si 0.0019 0.2500 0.0000


(3)
# Fe3NiPd2

Crystalline Fe3NiPd2 at its relaxed geometry (PBE-GGA, Alexandria via LeMat-Bulk).

Output
Energy of formation in eV per atom: -0.04
Total moment in μB per formula unit: 9.8

a = 3.7267 Å, b = 7.0125 Å, c = 7.0125 Å
α = 106.96°, β = 105.35°, γ = 105.35°
Site moments in Bohr magnetons follow the coordinates.
Fractional positions:
Pd 0.7500 0.2561 0.7439  0.34
Pd 0.2500 0.7439 0.2561  0.34
Pd 0.2500 0.0846 0.9154  0.33
Pd 0.7500 0.9154 0.0846  0.33
Fe 0.5000 0.5000 0.0000  2.92
Fe 0.0000 0.0000 0.5000  2.92
Fe 0.9900 0.6607 0.8191  2.84
Fe 0.4900 0.8191 0.6607  2.84
Fe 0.0100 0.3393 0.1809  2.84
Fe 0.5100 0.1809 0.3393  2.84
Ni 0.2500 0.4215 0.5785  0.75
Ni 0.7500 0.5785 0.4215  0.75


(4)
# Al2MoCl

Crystalline Al2MoCl at its relaxed geometry (PBE-GGA, Alexandria via LeMat-Bulk).

Output
Formation energy from raw total energies in meV per atom: 41.9
Total moment in μB per formula unit: 0.0
Relative energy among the computed polymorphs in kJ/mol of formula units: 155

a = 4.7028 Å, b = 2.8734 Å, c = 4.9618 Å
α = 82.51°, β = 90.00°, γ = 90.00°
Fractional positions:
Al 0.0000 0.0468 0.9465
Al 0.5000 0.1157 0.2938
Cl 0.0000 0.7392 0.4502
Mo 0.5000 0.5982 0.8095


(5)
# Cr2CdPbN

Crystalline Cr2CdPbN at its relaxed geometry (PBE-GGA, Alexandria via LeMat-Bulk).

Output
Formation energy from raw total energies in meV per atom: 1682.8
Total moment in μB per formula unit: 10.0

a = 5.4784 Å, b = 4.3129 Å, c = 5.4784 Å
α = 90.00°, β = 90.00°, γ = 90.00°
Site moments in Bohr magnetons follow the coordinates.
Fractional positions:
Cr 0.0000 0.0000 0.5000  4.09
Cr 0.5000 0.0000 0.0000  4.03
N 0.0000 0.5000 0.0000  0.44
Pb 0.0000 0.0000 0.0000  -0.03
Cd 0.5000 0.5000 0.5000  -0.01


(6)
# Fe2CuRuN

Crystalline Fe2CuRuN at its relaxed geometry (PBE-GGA, Alexandria via LeMat-Bulk).

Output
Formation energy from raw total energies in meV per atom: 79.2
Total moment in μB per formula unit: 4.5

a = 3.7986 Å, b = 3.7986 Å, c = 3.9602 Å
α = 90.00°, β = 90.00°, γ = 90.00°
Site moments in Bohr magnetons follow the coordinates.
Fractional positions:
N 0.0000 0.0000 0.0000  -0.06
Cu 0.5000 0.5000 0.5000  0.15
Ru 0.0000 0.0000 0.5000  0.11
Fe 0.5000 0.0000 0.0000  2.19
Fe 0.0000 0.5000 0.0000  2.19


(7)
# ScMn3Cr

Crystalline ScMn3Cr at its relaxed geometry (PBE-GGA, Alexandria via LeMat-Bulk).

Output
Energy of formation in eV per atom: 0.60
Total moment in μB per formula unit: 4.2
Relative energy among the computed polymorphs in kJ/mol of formula units: 0

a = 4.2877 Å, b = 4.2877 Å, c = 4.2877 Å
α = 90.00°, β = 90.00°, γ = 90.00°
Site moments in Bohr magnetons follow the coordinates.
Fractional positions:
Mn 0.0000 0.5000 0.0000  2.08
Mn 0.5000 0.0000 0.0000  1.62
Mn 0.0000 0.0000 0.5000  2.13
Sc 0.5000 0.5000 0.5000  -0.30
Cr 0.0000 0.0000 0.0000  -1.23